Record 1
First-principles (PBE) data for a relaxed structure of Be2SiTc2Ru5, as listed in Alexandria.

**Magnetic moment**: 0.000 μB per formula unit
**Raw total energy**: -8.2262 eV/atom

a b c (Å): 9.2853 9.2853 2.9111
angles (deg): 90.00 90.00 90.00
Atoms (fractional coordinates):
Be 0.1268 0.3732 0.0000
Be 0.3732 0.8732 0.0000
Be 0.6268 0.1268 0.0000
Be 0.8732 0.6268 0.0000
Si 0.0000 0.0000 0.0000
Si 0.5000 0.5000 0.0000
Tc 0.1804 0.6804 0.0000
Tc 0.3196 0.1804 0.0000
Tc 0.6804 0.8196 0.0000
Tc 0.8196 0.3196 0.0000
Ru 0.0000 0.5000 0.5000
Ru 0.0542 0.2040 0.5000
Ru 0.2040 0.9458 0.5000
Ru 0.2960 0.4458 0.5000
Ru 0.4458 0.7040 0.5000
Ru 0.5000 0.0000 0.5000
Ru 0.5542 0.2960 0.5000
Ru 0.7040 0.5542 0.5000
Ru 0.7960 0.0542 0.5000
Ru 0.9458 0.7960 0.5000



Record 2
First-principles (PBE) data for a relaxed structure of Li2CeIn2, as listed in Alexandria.

**Polymorph energy (0 for the lowest one)**: 60 meV per atom
**Magnetic moment**: 0.893 μB per formula unit
**ΔH_f (0 K)**: -178 meV per atom
**Raw total energy**: -3.2256 eV/atom

a b c (Å): 4.6664 4.6664 19.6968
angles (deg): 90.00 90.00 120.00
Atoms (fractional coordinates):
Li 0.0000 0.0000 0.1871
Li 0.0000 0.0000 0.8129
Li 0.3333 0.6667 0.4795
Li 0.3333 0.6667 0.8538
Li 0.6667 0.3333 0.1462
Li 0.6667 0.3333 0.5205
Ce 0.0000 0.0000 0.0000
Ce 0.3333 0.6667 0.6667
Ce 0.6667 0.3333 0.3333
In 0.0000 0.0000 0.4272
In 0.0000 0.0000 0.5728
In 0.3333 0.6667 0.0938
In 0.3333 0.6667 0.2395
In 0.6667 0.3333 0.7605
In 0.6667 0.3333 0.9062



Record 3
First-principles (PBE) data for a relaxed structure of AcNd4Pu3Se8, as listed in Alexandria.

**Magnetic moment**: 17.403 μB per formula unit
**Raw total energy**: -7.6061 eV/atom

a b c (Å): 8.4898 8.4898 8.4898
angles (deg): 59.68 59.68 59.68
Atoms (fractional coordinates):
Ac 0.0000 0.0000 0.0000
Nd 0.0000 0.0000 0.5000
Nd 0.0000 0.5000 0.0000
Nd 0.5000 0.0000 0.0000
Nd 0.5000 0.5000 0.5000
Pu 0.0000 0.5000 0.5000
Pu 0.5000 0.0000 0.5000
Pu 0.5000 0.5000 0.0000
Se 0.2527 0.2527 0.2527
Se 0.2549 0.2549 0.7403
Se 0.2549 0.7403 0.2549
Se 0.2597 0.7451 0.7451
Se 0.7403 0.2549 0.2549
Se 0.7451 0.2597 0.7451
Se 0.7451 0.7451 0.2597
Se 0.7473 0.7473 0.7473



Record 4
First-principles (PBE) data for a relaxed structure of NbBiPd14, as listed in Alexandria.

**Magnetic moment**: 0.000 μB per formula unit
**ΔH_f (0 K)**: -175 meV per atom
**Raw total energy**: -5.5907 eV/atom

a b c (Å): 5.7458 5.7458 7.7647
angles (deg): 90.00 90.00 90.00
Atoms (fractional coordinates):
Nb 0.0000 0.0000 0.0000
Bi 0.5000 0.5000 0.0000
Pd 0.0000 0.0000 0.5000
Pd 0.0000 0.5000 0.0000
Pd 0.0000 0.5000 0.5000
Pd 0.2437 0.2437 0.2495
Pd 0.2437 0.2437 0.7505
Pd 0.2437 0.7563 0.2495
Pd 0.2437 0.7563 0.7505
Pd 0.5000 0.0000 0.0000
Pd 0.5000 0.0000 0.5000
Pd 0.5000 0.5000 0.5000
Pd 0.7563 0.2437 0.2495
Pd 0.7563 0.2437 0.7505
Pd 0.7563 0.7563 0.2495
Pd 0.7563 0.7563 0.7505



Record 5
First-principles (PBE) data for a relaxed structure of YGaPd, as listed in Alexandria.

**Magnetic moment**: 0.000 μB per formula unit
**ΔH_f (0 K)**: -661 meV per atom
**Raw total energy**: -5.5552 eV/atom

a b c (Å): 6.4805 6.4805 6.4805
angles (deg): 90.00 90.00 90.00
Atoms (fractional coordinates):
Y 0.0000 0.0000 0.0000
Y 0.0000 0.5000 0.5000
Y 0.5000 0.0000 0.5000
Y 0.5000 0.5000 0.0000
Ga 0.0000 0.0000 0.5000
Ga 0.0000 0.5000 0.0000
Ga 0.5000 0.0000 0.0000
Ga 0.5000 0.5000 0.5000
Pd 0.2500 0.2500 0.7500
Pd 0.2500 0.7500 0.2500
Pd 0.7500 0.2500 0.2500
Pd 0.7500 0.7500 0.7500



Record 6
First-principles (PBE) data for a relaxed structure of BaBeRh2, as listed in Alexandria.

**Magnetic moment**: 0.000 μB per formula unit
**ΔH_f (0 K)**: 159 meV per atom
**Raw total energy**: -4.9288 eV/atom

a b c (Å): 3.3094 5.5708 8.2575
angles (deg): 90.00 90.00 90.00
Atoms (fractional coordinates):
Ba 0.0000 0.0000 0.0000
Ba 0.5000 0.5000 0.5000
Be 0.0000 0.0000 0.5000
Be 0.5000 0.5000 0.0000
Rh 0.0000 0.5000 0.1827
Rh 0.0000 0.5000 0.8173
Rh 0.5000 0.0000 0.3173
Rh 0.5000 0.0000 0.6827



Record 7
First-principles (PBE) data for a relaxed structure of MnHgSCl2, as listed in Alexandria.

**Polymorph energy (0 for the lowest one)**: 644 meV per atom
**Magnetic moment**: 5.235 μB per formula unit
**Raw total energy**: -3.1512 eV/atom

a b c (Å): 5.1549 5.1549 5.1257
angles (deg): 90.00 90.00 90.00
Atoms (fractional coordinates):
Mn 0.0000 0.0000 0.0000
Hg 0.5000 0.5000 0.5000
S 0.5000 0.5000 0.0000
Cl 0.0000 0.5000 0.5000
Cl 0.5000 0.0000 0.5000



Record 8
First-principles (PBE) data for a relaxed structure of LaRe2Au2, as listed in Alexandria.

**Polymorph energy (0 for the lowest one)**: 0 meV per atom
**Magnetic moment**: 0.000 μB per formula unit
**ΔH_f (0 K)**: 162 meV per atom
**Raw total energy**: -7.1140 eV/atom

a b c (Å): 3.8292 3.8292 13.8741
angles (deg): 90.00 90.00 90.00
Atoms (fractional coordinates):
La 0.0000 0.0000 0.0000
La 0.5000 0.5000 0.5000
Re 0.0000 0.5000 0.2500
Re 0.0000 0.5000 0.7500
Re 0.5000 0.0000 0.2500
Re 0.5000 0.0000 0.7500
Au 0.0000 0.0000 0.3989
Au 0.0000 0.0000 0.6011
Au 0.5000 0.5000 0.1011
Au 0.5000 0.5000 0.8989



Record 9
First-principles (PBE) data for a relaxed structure of Li2SnP2O7, as listed in Alexandria.

**Polymorph energy (0 for the lowest one)**: 1 meV per atom
**Magnetic moment**: 0.000 μB per formula unit
**Raw total energy**: -6.5923 eV/atom

a b c (Å): 8.7248 5.0876 15.0620
angles (deg): 90.00 111.16 90.00
Atoms (fractional coordinates):
Li 0.0018 0.2446 0.1775
Li 0.0018 0.2554 0.6775
Li 0.4120 0.2314 0.1678
Li 0.4120 0.2686 0.6678
Li 0.5880 0.7314 0.3322
Li 0.5880 0.7686 0.8322
Li 0.9982 0.7446 0.3225
Li 0.9982 0.7554 0.8225
Sn 0.2904 0.2407 0.8811
Sn 0.2904 0.2593 0.3811
Sn 0.7096 0.7407 0.6189
Sn 0.7096 0.7593 0.1189
P 0.2146 0.7438 0.7020
P 0.2146 0.7562 0.2020
P 0.3027 0.7435 0.0343
P 0.3027 0.7565 0.5343
P 0.6973 0.2435 0.4657
P 0.6973 0.2565 0.9657
P 0.7854 0.2438 0.7980
P 0.7854 0.2562 0.2980
O 0.0662 0.6208 0.7177
O 0.0662 0.8792 0.2177
O 0.1753 0.6923 0.5878
O 0.1753 0.8077 0.0878
O 0.2126 0.6658 0.4306
O 0.2126 0.8342 0.9306
O 0.2218 0.0456 0.7157
O 0.2218 0.4544 0.2157
O 0.3416 0.0496 0.5432
O 0.3416 0.4504 0.0432
O 0.3759 0.6026 0.7562
O 0.3759 0.8974 0.2562
O 0.4557 0.5830 0.5843
O 0.4557 0.9170 0.0843
O 0.5443 0.0830 0.9157
O 0.5443 0.4170 0.4157
O 0.6241 0.1026 0.7438
O 0.6241 0.3974 0.2438
O 0.6584 0.5496 0.9568
O 0.6584 0.9504 0.4568
O 0.7782 0.5456 0.7843
O 0.7782 0.9544 0.2843
O 0.7874 0.1658 0.0694
O 0.7874 0.3342 0.5694
O 0.8247 0.1923 0.9122
O 0.8247 0.3077 0.4122
O 0.9338 0.1208 0.7823
O 0.9338 0.3792 0.2823



Record 10
First-principles (PBE) data for a relaxed structure of ZnO2F, as listed in Alexandria.

**Polymorph energy (0 for the lowest one)**: 0 meV per atom
**Magnetic moment**: 1.004 μB per formula unit
**Raw total energy**: -4.1083 eV/atom

a b c (Å): 3.3206 20.1743 4.0581
angles (deg): 90.00 90.00 90.00
Atoms (fractional coordinates):
Zn 0.0000 0.1148 0.2500
Zn 0.0000 0.8852 0.7500
Zn 0.5000 0.3852 0.7500
Zn 0.5000 0.6148 0.2500
O 0.0000 0.1869 0.5865
O 0.0000 0.1869 0.9135
O 0.0000 0.8131 0.0865
O 0.0000 0.8131 0.4135
O 0.5000 0.3131 0.0865
O 0.5000 0.3131 0.4135
O 0.5000 0.6869 0.5865
O 0.5000 0.6869 0.9135
F 0.0000 0.4359 0.7500
F 0.0000 0.5641 0.2500
F 0.5000 0.0641 0.2500
F 0.5000 0.9359 0.7500



Record 11
First-principles (PBE) data for a relaxed structure of CsPuCuCl6, as listed in Alexandria.

**Magnetic moment**: 3.997 μB per formula unit
**Raw total energy**: -4.8681 eV/atom

a b c (Å): 6.7082 6.7082 7.9089
angles (deg): 90.00 90.00 120.00
Atoms (fractional coordinates):
Cs 0.0000 0.0000 0.0000
Pu 0.3333 0.6667 0.5000
Cu 0.6667 0.3333 0.5000
Cl 0.3747 0.0131 0.6871
Cl 0.3747 0.3616 0.3129
Cl 0.6384 0.0131 0.3129
Cl 0.6384 0.6253 0.6871
Cl 0.9869 0.3616 0.6871
Cl 0.9869 0.6253 0.3129